## LaNd7Cd2 (PBE)

Data for LaNd7Cd2 after structural relaxation.

Calculated values
Energy relative to the elements in kJ/mol of atoms: 35
Spin magnetization in μB per atom: 0.000
E in eV per atom: -3.65

Cell: 5.506 9.199 9.199 Å, 120.16 90.00 90.00°
Fractional positions:
Nd  0.500  0.698  0.938
Nd  0.500  0.500  0.500
Nd  0.000  0.231  0.769
Nd  0.500  0.302  0.062
Nd  0.000  0.769  0.231
Nd  0.500  0.938  0.698
Nd  0.500  0.062  0.302
Cd  0.500  0.696  0.304
Cd  0.500  0.304  0.696
La  0.000  0.000  0.000